1.
Computed, not measured: a geometry-optimized CsGaAs structure at the GGA-PBE level of DFT.

Cell lengths 12.9853, 5.7430, 7.2562 Å; angles 90.00, 90.00, 90.00 degrees
Last column: nearest neighbours and their distance in Å.
Element x y z (fractional)
Cs: 0.1544 0.2500 0.0284  4 As 3.53-3.86
Cs: 0.3456 0.7500 0.5284  4 As 3.53-3.86
Cs: 0.6544 0.2500 0.4716  4 As 3.53-3.86
Cs: 0.8456 0.7500 0.9716  4 As 3.53-3.86
Ga: 0.0000 0.0000 0.5000  2 As 2.41
Ga: 0.0000 0.5000 0.5000  2 As 2.41
Ga: 0.5000 0.0000 0.0000  2 As 2.41
Ga: 0.5000 0.5000 0.0000  2 As 2.41
As: 0.0862 0.7500 0.2831  2 Ga 2.41
As: 0.4138 0.2500 0.7831  2 Ga 2.41
As: 0.5862 0.7500 0.2169  2 Ga 2.41
As: 0.9138 0.2500 0.7169  2 Ga 2.41

Properties
N(E_F) (states/eV/cell): 7.221
Theoretical density (g/cm³): 3.41
Formation energy from the elements (kJ per mole of atoms): -14.26

=====

2.
Computed, not measured: a geometry-optimized Ac2GaSiRh structure at the GGA-PBE level of DFT.

Cell lengths 4.4842, 4.4842, 14.3329 Å; angles 90.00, 90.00, 90.00 degrees
Last column: nearest neighbours and their distance in Å.
Element x y z (fractional)
Ac: 0.2500 0.2500 0.1095  5 Si 3.17-3.27
Ac: 0.2500 0.2500 0.6651  1 Si 3.10, 4 Rh 3.26, 4 Ga 3.36
Ac: 0.7500 0.7500 0.3349  1 Si 3.10, 4 Rh 3.26, 4 Ga 3.36
Ac: 0.7500 0.7500 0.8905  5 Si 3.17-3.27
Ga: 0.2500 0.2500 0.4130  4 Rh 2.57
Ga: 0.7500 0.7500 0.5870  4 Rh 2.57
Si: 0.2500 0.2500 0.8817  6 Ac 3.10-3.27
Si: 0.7500 0.7500 0.1183  6 Ac 3.10-3.27
Rh: 0.2500 0.7500 0.5000  4 Ga 2.57
Rh: 0.7500 0.2500 0.5000  4 Ga 2.57

Properties
N(E_F) (states/eV/cell): 7.058
Theoretical density (g/cm³): 7.54
Energy (eV/atom): -5.39

=====

3.
Computed, not measured: a geometry-optimized InReIrF2 structure at the GGA-PBE level of DFT.

Cell lengths 4.0284, 4.0284, 5.7740 Å; angles 90.00, 90.00, 90.00 degrees
Last column: nearest neighbours and their distance in Å.
Element x y z (fractional)
In: 0.0000 0.0000 0.0000  4 Re 2.85, 2 Ir 2.89
Re: 0.5000 0.5000 0.0000  4 In 2.85
Ir: 0.0000 0.0000 0.5000  4 F 2.01
F: 0.0000 0.5000 0.5000  2 Ir 2.01
F: 0.5000 0.0000 0.5000  2 Ir 2.01

Properties
N(E_F) (states/eV/cell): 2.843
Theoretical density (g/cm³): 9.41
Energy (eV/atom): -5.05

=====

4.
Computed, not measured: a geometry-optimized Y2ZnAg2 structure at the GGA-PBE level of DFT.

Cell lengths 8.9237, 8.9237, 8.9237 Å; angles 155.57, 155.57, 34.82 degrees
Last column: nearest neighbours and their distance in Å.
Element x y z (fractional)
Y: 0.1003 0.1003 0.0000  4 Zn 3.17, 4 Ag 3.17, 1 Y 3.42
Y: 0.8997 0.8997 0.0000  4 Zn 3.17, 4 Ag 3.17, 1 Y 3.42
Zn: 0.5000 0.5000 0.0000  8 Y 3.17
Ag: 0.2500 0.7500 0.5000  4 Ag 2.67
Ag: 0.7500 0.2500 0.5000  4 Ag 2.67

Properties
N(E_F) (states/eV/cell): 3.934
Theoretical density (g/cm³): 6.28
Formation energy from the elements (kJ per mole of atoms): -7.77

=====

5.
Computed, not measured: a geometry-optimized LiMn2W structure at the GGA-PBE level of DFT.

Cell lengths 2.6346, 2.6346, 8.6387 Å; angles 90.00, 90.00, 108.98 degrees
Last column: nearest neighbours and their distance in Å.
Element x y z (fractional)
Li: 0.0000 0.0000 0.0000  4 Li 2.63, 2 Mn 2.77, 2 W 2.86
Mn: 0.0000 0.0000 0.4785  6 Mn 2.38-2.63, 2 W 2.59
Mn: 0.5000 0.5000 0.2676  6 Mn 2.38-2.63
W: 0.5000 0.5000 0.7200  2 Mn 2.59, 4 W 2.63, 2 Li 2.86

Properties
N(E_F) (states/eV/cell): 4.198
Theoretical density (g/cm³): 8.80
Formation energy from the elements (kJ per mole of atoms): 32.40

=====

6.
Computed, not measured: a geometry-optimized KRbPd2Rh structure at the GGA-PBE level of DFT.

Cell lengths 5.3855, 5.3855, 5.1939 Å; angles 90.00, 90.00, 90.00 degrees
Last column: nearest neighbours and their distance in Å.
Element x y z (fractional)
K: 0.0000 0.0000 0.0000  8 Pd 3.74, 4 Rh 3.81
Rb: 0.5000 0.5000 0.5000  2 Rh 2.60, 4 Pd 2.69
Pd: 0.0000 0.5000 0.5000  2 Rb 2.69
Pd: 0.5000 0.0000 0.5000  2 Rb 2.69
Rh: 0.5000 0.5000 0.0000  2 Rb 2.60

Properties
N(E_F) (states/eV/cell): 4.676
Theoretical density (g/cm³): 4.85
Formation energy from the elements (kJ per mole of atoms): 127.20

=====

7.
Computed, not measured: a geometry-optimized Sc2TcAs structure at the GGA-PBE level of DFT.

Cell lengths 3.2070, 3.2070, 7.4504 Å; angles 90.00, 90.00, 90.00 degrees
Last column: nearest neighbours and their distance in Å.
Element x y z (fractional)
Sc: 0.0000 0.0000 0.0000  4 As 2.94, 1 Tc 3.05, 4 Sc 3.21
Sc: 0.5000 0.5000 0.3475  4 Tc 2.90, 1 As 3.00, 4 Sc 3.21
Tc: 0.0000 0.0000 0.5910  4 As 2.56
As: 0.5000 0.5000 0.7495  4 Tc 2.56

Properties
N(E_F) (states/eV/cell): 4.509
Theoretical density (g/cm³): 5.70
Formation energy from the elements (kJ per mole of atoms): -36.20

=====

8.
Computed, not measured: a geometry-optimized Y2NbAlSe structure at the GGA-PBE level of DFT.

Cell lengths 5.3031, 5.3031, 4.7661 Å; angles 90.00, 90.00, 90.00 degrees
Last column: nearest neighbours and their distance in Å.
Element x y z (fractional)
Y: 0.0000 0.5000 0.0000  2 Se 2.65
Y: 0.5000 0.0000 0.0000  2 Se 2.65
Nb: 0.0000 0.0000 0.5000  2 Se 2.38
Al: 0.5000 0.5000 0.5000  8 Y 3.57, 4 Nb 3.75
Se: 0.0000 0.0000 0.0000  2 Nb 2.38, 4 Y 2.65

Properties
N(E_F) (states/eV/cell): 3.597
Theoretical density (g/cm³): 4.67
Energy (eV/atom): -6.15

=====

9.
Computed, not measured: a geometry-optimized Y2TlSe structure at the GGA-PBE level of DFT.

Cell lengths 5.3448, 5.3448, 5.3448 Å; angles 60.00, 60.00, 60.00 degrees
Last column: nearest neighbours and their distance in Å.
Element x y z (fractional)
Y: 0.0000 0.0000 0.0000  4 Tl 3.27, 4 Y 3.27
Y: 0.2500 0.2500 0.2500  4 Se 3.27, 4 Y 3.27
Tl: 0.7500 0.7500 0.7500  4 Se 3.27, 4 Y 3.27
Se: 0.5000 0.5000 0.5000  4 Tl 3.27, 4 Y 3.27

Properties
N(E_F) (states/eV/cell): 6.700
Theoretical density (g/cm³): 7.09
Energy (eV/atom): -4.76

=====

10.
Computed, not measured: a geometry-optimized CaErTh2 structure at the GGA-PBE level of DFT.

Cell lengths 5.0367, 5.0367, 5.1837 Å; angles 90.00, 90.00, 90.00 degrees
Last column: nearest neighbours and their distance in Å.
Element x y z (fractional)
Ca: 0.0000 0.0000 0.0000  4 Er 3.56, 8 Th 3.61
Er: 0.5000 0.5000 0.0000  4 Ca 3.56, 8 Th 3.61
Th: 0.0000 0.5000 0.5000  4 Th 3.56, 4 Er 3.61, 4 Ca 3.61
Th: 0.5000 0.0000 0.5000  4 Th 3.56, 4 Er 3.61, 4 Ca 3.61

Properties
N(E_F) (states/eV/cell): 5.112
Theoretical density (g/cm³): 8.48
Formation energy from the elements (kJ per mole of atoms): 17.78

=====

11.
Computed, not measured: a geometry-optimized CsKN2F structure at the GGA-PBE level of DFT.

Cell lengths 5.0414, 5.0414, 5.4476 Å; angles 90.00, 90.00, 90.00 degrees
Last column: nearest neighbours and their distance in Å.
Element x y z (fractional)
Cs: 0.0000 0.0000 0.0000  4 N 2.52, 2 F 2.72
K: 0.5000 0.5000 0.5000  4 F 3.56, 8 N 3.71
N: 0.0000 0.5000 0.0000  2 Cs 2.52
N: 0.5000 0.0000 0.0000  2 Cs 2.52
F: 0.0000 0.0000 0.5000  2 Cs 2.72

Properties
N(E_F) (states/eV/cell): 1.369
Theoretical density (g/cm³): 2.63
Energy (eV/atom): -3.21

=====

12.
Computed, not measured: a geometry-optimized Li2Si structure at the GGA-PBE level of DFT.

Cell lengths 4.3486, 4.3486, 6.6477 Å; angles 109.21, 109.21, 59.92 degrees
Last column: nearest neighbours and their distance in Å.
Element x y z (fractional)
Li: 0.1444 0.1444 0.4334  3 Si 2.61-2.62, 4 Li 2.64-2.77
Li: 0.2952 0.2952 0.8838  4 Si 2.65-2.79, 4 Li 2.77-2.89
Li: 0.7048 0.7048 0.1162  4 Si 2.65-2.79, 4 Li 2.77-2.89
Li: 0.8556 0.8556 0.5666  3 Si 2.61-2.62, 4 Li 2.64-2.77
Si: 0.4378 0.4378 0.3143  1 Si 2.28
Si: 0.5622 0.5622 0.6857  1 Si 2.28

Properties
N(E_F) (states/eV/cell): 1.824
Theoretical density (g/cm³): 1.39
Energy (eV/atom): -3.29

=====

Which of these has the lowest theoretical density?
Li2Si